A plane-wave DFT calculation with PBE was carried out for a geometry-optimized Li3AlBi structure.

Values from the calculation:
N(E_F): 3.30 states/eV/f.u.
DFT total energy: -12.63 eV/cell
E_form: 146.2 meV/atom
calculated volume: 28.37 Å³/atom

a b c (Å): 5.215 5.215 5.215
angles (deg): 90.00 90.00 90.00
Atoms (fractional coordinates):
Li (0.000, 0.500, 0.000)
Li (0.000, 0.000, 0.500)
Li (0.500, 0.000, 0.000)
Bi (0.000, 0.000, 0.000)
Al (0.500, 0.500, 0.500)